LiTlVF2 | PBE with a Hubbard U | optimized geometry

## Properties
**Energy**: -4.362 eV per atom
**D(E_F)**: 1.8 states/eV/f.u.

a = 3.982 Å, b = 3.982 Å, c = 6.257 Å
α = 90.00°, β = 90.00°, γ = 90.00°
Space group P4/mmm (No. 123)
Asymmetric unit:
Li: 0.000 0.000 0.000 (multiplicity 1)
Tl: 0.500 0.500 0.000 (multiplicity 1)
V: 0.000 0.000 0.500 (multiplicity 1)
F: 0.000 0.500 0.500 (multiplicity 2)